Entry 1:
! BaHgP3, optimized geometry, DFT PBE; values from VASP
! formation energy from the elements: 1.28 eV per atom
! space-group type: Pm-3m, No. 221
! total DFT energy (no corrections): -0.089 hartree per atom
&SYSTEM
  ibrav = 0, nat = 5, ntyp = 3
/
ATOMIC_SPECIES
P 30.97 P.upf
Hg 200.59 Hg.upf
Ba 137.33 Ba.upf
CELL_PARAMETERS angstrom
-2.055 -6.196 0.123
3.621 -1.095 5.321
-5.029 1.743 3.781
ATOMIC_POSITIONS angstrom
P 1.811 -0.548 2.660
P -2.514 0.871 1.891
P -1.027 -3.098 0.061
Hg -1.731 -2.774 4.613
Ba 0.000 0.000 0.000

=====

Entry 2:
! BaHgP2, optimized geometry, DFT PBE; values from VASP
! formation energy from the elements: -0.08 eV per atom
! space-group type: Pmmm, No. 47
! total DFT energy (no corrections): -0.123 hartree per atom
&SYSTEM
  ibrav = 0, nat = 4, ntyp = 3
/
ATOMIC_SPECIES
Ba 137.33 Ba.upf
Hg 200.59 Hg.upf
P 30.97 P.upf
CELL_PARAMETERS angstrom
-2.849 2.675 -0.701
-1.153 -2.077 -3.241
-4.120 -3.429 3.663
ATOMIC_POSITIONS angstrom
Ba -3.031 -0.559 -1.055
Hg -5.091 -2.273 0.776
P -3.791 -3.155 3.371
P -2.389 -1.988 2.124

=====

Entry 3:
! Ba4HgP, optimized geometry, DFT PBE; values from VASP
! formation energy from the elements: -0.50 eV per atom
! space-group type: P2/m, No. 10
! total DFT energy (no corrections): -0.100 hartree per atom
&SYSTEM
  ibrav = 0, nat = 12, ntyp = 3
/
ATOMIC_SPECIES
Ba 137.33 Ba.upf
Hg 200.59 Hg.upf
P 30.97 P.upf
CELL_PARAMETERS angstrom
-7.533 -1.822 -1.926
-0.348 -5.066 6.164
-6.624 2.572 6.905
ATOMIC_POSITIONS angstrom
Ba -4.839 -4.354 6.496
Ba -9.840 -2.496 7.727
Ba -9.665 0.038 4.647
Ba -4.664 -1.821 3.416
Ba -8.602 -5.262 5.529
Ba -6.072 -1.587 8.698
Ba -5.903 0.946 5.614
Ba -8.433 -2.729 2.445
Hg -2.145 -4.255 4.141
Hg -12.360 -0.062 7.002
P -3.312 1.286 3.453
P -7.252 -2.158 5.571

=====

Entry 4:
! BaHg4P, optimized geometry, DFT PBE; values from VASP
! formation energy from the elements: -0.04 eV per atom
! space-group type: F-43m, No. 216
! total DFT energy (no corrections): -0.054 hartree per atom
&SYSTEM
  ibrav = 0, nat = 6, ntyp = 3
/
ATOMIC_SPECIES
Ba 137.33 Ba.upf
Hg 200.59 Hg.upf
P 30.97 P.upf
CELL_PARAMETERS angstrom
0.000 4.400 4.400
4.400 0.000 4.400
4.400 4.400 0.000
ATOMIC_POSITIONS angstrom
Ba 0.000 0.000 0.000
Hg 3.311 5.489 5.489
Hg 5.489 5.489 3.311
Hg 5.489 3.311 5.489
Hg 3.311 3.311 3.311
P 6.600 6.600 6.600

=====

Entry 5:
! BaHgP4, optimized geometry, DFT PBE; values from VASP
! formation energy from the elements: -0.13 eV per atom
! space-group type: F-43m, No. 216
! total DFT energy (no corrections): -0.151 hartree per atom
&SYSTEM
  ibrav = 0, nat = 6, ntyp = 3
/
ATOMIC_SPECIES
Ba 137.33 Ba.upf
Hg 200.59 Hg.upf
P 30.97 P.upf
CELL_PARAMETERS angstrom
0.000 4.148 4.148
4.148 0.000 4.148
4.148 4.148 0.000
ATOMIC_POSITIONS angstrom
Ba 6.221 6.221 6.221
Hg 0.000 0.000 0.000
P 2.894 5.401 5.401
P 5.401 5.401 2.894
P 5.401 2.894 5.401
P 2.894 2.894 2.894

=====

Entry 6:
! Ba5Hg2P, optimized geometry, DFT PBE; values from VASP
! formation energy from the elements: -0.53 eV per atom
! space-group type: C2/c, No. 15
! total DFT energy (no corrections): -0.091 hartree per atom
&SYSTEM
  ibrav = 0, nat = 16, ntyp = 3
/
ATOMIC_SPECIES
Ba 137.33 Ba.upf
Hg 200.59 Hg.upf
P 30.97 P.upf
CELL_PARAMETERS angstrom
-4.134 -1.709 -6.860
-6.536 -3.681 4.856
-1.581 10.129 3.317
ATOMIC_POSITIONS angstrom
Ba -7.162 5.105 1.851
Ba -5.211 -2.888 3.129
Ba -5.459 -2.501 -5.133
Ba -8.989 1.706 -0.590
Ba -3.262 3.034 1.902
Ba -5.135 3.788 -2.046
Ba -7.116 0.951 3.358
Ba -5.088 -0.365 -0.539
Ba -2.885 7.362 1.097
Ba -9.365 -2.623 0.215
Hg -4.539 6.293 4.004
Hg -10.206 3.461 2.450
Hg -7.712 -1.554 -2.691
Hg -2.045 1.278 -1.138
P -0.790 5.065 1.659
P -6.125 2.370 0.656

=====

Entry 7:
! BaHgP2, optimized geometry, DFT PBE; values from VASP
! formation energy from the elements: -0.40 eV per atom
! space-group type: Amm2, No. 38
! total DFT energy (no corrections): -0.135 hartree per atom
&SYSTEM
  ibrav = 0, nat = 4, ntyp = 3
/
ATOMIC_SPECIES
Ba 137.33 Ba.upf
Hg 200.59 Hg.upf
P 30.97 P.upf
CELL_PARAMETERS angstrom
3.657 2.422 4.570
-4.329 2.060 -4.140
-2.915 -0.696 2.702
ATOMIC_POSITIONS angstrom
Ba 2.971 2.391 3.822
Hg -1.003 1.928 2.427
P -2.698 2.134 -2.361
P -3.424 1.818 -0.213

=====

Entry 8:
! BaHgP2, optimized geometry, DFT PBE; values from VASP
! formation energy from the elements: 0.13 eV per atom
! space-group type: F-43m, No. 216
! total DFT energy (no corrections): -0.115 hartree per atom
&SYSTEM
  ibrav = 0, nat = 4, ntyp = 3
/
ATOMIC_SPECIES
Ba 137.33 Ba.upf
Hg 200.59 Hg.upf
P 30.97 P.upf
CELL_PARAMETERS angstrom
-4.772 -2.178 -0.477
-0.832 -3.757 -3.596
-0.787 -4.979 1.527
ATOMIC_POSITIONS angstrom
Ba -3.195 -5.457 -1.273
Hg -4.793 -8.186 -1.910
P 0.000 0.000 0.000
P -1.598 -2.729 -0.637

=====

Record order is preserved below.
Density of states at the Fermi level: 5.458; 4.560; 5.791; 3.692; 5.009; 9.816; 0.775; 3.831 states/eV/f.u.